Material: Nd3MnB2Pt9
Method: DFT, GGA-PBE
State: optimized geometry

Summary:
energy	-102.61	eV per cell
E_form	-0.76	eV/atom
density of states at the Fermi level	2.9	states/eV per cell

a = 5.8125 Å, b = 5.8125 Å, c = 9.3088 Å
α = 90.00°, β = 90.00°, γ = 120.00°
Space group P-3m1 (No. 164)
One atom of each set of equivalent atoms:
Nd: 0.0000 0.0000 0.0000 [1 per cell]
Nd: 0.3333 0.6667 0.6059 [2 per cell]
Mn: 0.0000 0.0000 0.5000 [1 per cell]
B: 0.3333 0.6667 0.1480 [2 per cell]
Pt: 0.0000 0.5000 0.0000 [3 per cell]
Pt: 0.1649 0.3297 0.2857 [6 per cell]

Material: Nd2MnB3Pt12
Method: DFT, GGA-PBE
State: optimized geometry

Summary:
energy	-355.76	eV per cell
E_form	-0.41	eV/atom
density of states at the Fermi level	24.2	states/eV per cell

a = 7.9260 Å, b = 7.9260 Å, c = 17.6084 Å
α = 90.00°, β = 90.00°, γ = 120.00°
Space group R-3m (No. 166, hexagonal axes)
One atom of each set of equivalent atoms:
Nd: 0.0000 0.0000 0.1047 [6 per cell]
Mn: 0.0000 0.0000 0.5000 [3 per cell]
B: 0.0000 0.5000 0.0000 [9 per cell]
Pt: 0.0013 0.5007 0.8793 [18 per cell]
Pt: 0.0586 0.5293 0.3543 [18 per cell]

Material: Nd2MnB2Rh5
Method: DFT, GGA-PBE
State: optimized geometry

Summary:
energy	-148.64	eV per cell
E_form	-0.55	eV/atom
density of states at the Fermi level	6.7	states/eV per cell

a = 9.7165 Å, b = 9.7165 Å, c = 3.2300 Å
α = 90.00°, β = 90.00°, γ = 90.00°
Space group P4/mbm (No. 127)
One atom of each set of equivalent atoms:
Nd: 0.1771 0.3229 0.0000 [4 per cell]
Mn: 0.0000 0.0000 0.0000 [2 per cell]
B: 0.1215 0.6215 0.0000 [4 per cell]
Rh: 0.0000 0.5000 0.5000 [2 per cell]
Rh: 0.0690 0.7758 0.5000 [8 per cell]

Material: MnNi2B
Method: DFT, GGA-PBE
State: optimized geometry

Summary:
energy	-79.33	eV per cell
E_form	0.24	eV/atom
density of states at the Fermi level	8.4	states/eV per cell

a = 2.7394 Å, b = 2.7394 Å, c = 21.6650 Å
α = 90.00°, β = 90.00°, γ = 120.00°
Space group R-3m (No. 166, hexagonal axes)
One atom of each set of equivalent atoms:
Mn: 0.0000 0.0000 0.0000 [3 per cell]
Ni: 0.0000 0.0000 0.1128 [6 per cell]
B: 0.0000 0.0000 0.5000 [3 per cell]

Material: MnNi10B3
Method: DFT, GGA-PBE
State: optimized geometry

Summary:
energy	-720.18	eV per cell
E_form	-0.21	eV/atom
density of states at the Fermi level	132.9	states/eV per cell

a = 10.4464 Å, b = 10.4464 Å, c = 10.4464 Å
α = 90.00°, β = 90.00°, γ = 90.00°
Space group Fm-3m (No. 225)
One atom of each set of equivalent atoms:
Mn: 0.2500 0.2500 0.2500 [8 per cell]
Ni: 0.0000 0.1679 0.1679 [48 per cell]
Ni: 0.1171 0.1171 0.3829 [32 per cell]
B: 0.0000 0.0000 0.2717 [24 per cell]

Material: MnNi2B2
Method: DFT, GGA-PBE
State: optimized geometry

Summary:
energy	-68.97	eV per cell
E_form	-0.08	eV/atom
density of states at the Fermi level	9.8	states/eV per cell

a = 5.9345 Å, b = 5.9345 Å, c = 2.4251 Å
α = 90.00°, β = 90.00°, γ = 90.00°
Space group P4/mbm (No. 127)
One atom of each set of equivalent atoms:
Mn: 0.0000 0.0000 0.0000 [2 per cell]
Ni: 0.1491 0.3509 0.5000 [4 per cell]
B: 0.1509 0.6509 0.0000 [4 per cell]